(1)
VASP calculation (PBE) on a geometry-optimized SrY2Ge2 structure.

## Properties
Fermi-level density of states	2.7	states/eV per cell
total magnetization	0.8	μB per formula unit
DFT formation energy	-420	meV/atom
symmetry	No. 139
total energy	-5.189	eV/atom

Unit cell a=5.3941 b=5.3941 c=6.6887 alpha=66.22 beta=66.22 gamma=90.00
Each line ends with the local moment (μB).
Positions (direct):
Ge: 0.7500 0.2500 0.5000  -0.01
Ge: 0.2500 0.7500 0.5000  -0.01
Y: 0.3277 0.3277 0.3446  0.15
Y: 0.6723 0.6723 0.6554  0.15
Sr: 0.0000 0.0000 0.0000  0.02

=====

(2)
VASP calculation (PBE) on a geometry-optimized Ca4Sb2Pb structure.

## Properties
Fermi-level density of states	1.4	states/eV per cell
total magnetization	0.0	μB per formula unit
raw formation energy	-0.7389	eV/atom
symmetry	No. 139
total energy	-3.590	eV/atom

Unit cell a=6.6567 b=6.6567 c=6.6567 alpha=112.90 beta=112.90 gamma=102.81
Positions (direct):
Sb: 0.2858 0.7858 0.5000
Sb: 0.7858 0.2858 0.5000
Ca: 0.7857 0.7857 0.5001
Ca: 0.2857 0.7855 0.0000
Ca: 0.2857 0.2857 0.4999
Ca: 0.7855 0.2857 0.0000
Pb: 0.7857 0.7857 0.0000